DFT (PBE) results for a relaxed YZrO3 crystal.

Uncorrected formation energy ... -1561 kJ/mol of formula units
Size of the total moment ... 0.0 μB/f.u.
Density of states at the Fermi level ... 0.0 states/eV per cell
Calculated total energy ... -9.2131 eV per atom

Lattice parameters (Å, degrees): 9.039 9.039 10.434 54.83 54.83 70.18
Fractional positions:
Y1 0.261 0.780 0.717
Y2 0.278 0.260 0.460
Y3 0.025 0.975 0.000
Y4 0.718 0.239 0.758
Y5 0.220 0.739 0.283
Y6 0.740 0.722 0.540
Y7 0.761 0.282 0.242
Y8 0.527 0.473 0.000
O1 0.965 0.746 0.276
O2 0.243 0.007 0.465
O3 0.789 0.457 0.760
O4 0.497 0.765 0.213
O5 0.984 0.256 0.519
O6 0.254 0.035 0.724
O7 0.235 0.503 0.787
O8 0.280 0.975 0.002
O9 0.744 0.016 0.481
O10 0.260 0.514 0.217
O11 0.039 0.281 0.221
O12 0.453 0.247 0.011
O13 0.743 0.517 0.276
O14 0.486 0.740 0.783
O15 0.525 0.770 0.459
O16 0.025 0.720 0.998
O17 0.753 0.547 0.989
O18 0.993 0.237 0.995
O19 0.483 0.257 0.724
O20 0.230 0.475 0.541
O21 0.763 0.007 0.005
O22 0.993 0.757 0.535
O23 0.719 0.961 0.779
O24 0.543 0.211 0.240
Zr1 0.494 0.506 0.500
Zr2 0.781 0.764 0.996
Zr3 0.991 0.009 0.500
Zr4 0.480 0.993 0.239
Zr5 0.981 0.496 0.283
Zr6 0.236 0.219 0.004
Zr7 0.007 0.520 0.761
Zr8 0.504 0.019 0.717